[1]
# Rb3Dy2MnS6 | the Alexandria database | GGA-PBE | relaxed
# ΔE_f (raw)   -1446 meV/atom
# Total magnetic moment   4.00 μB per formula unit
# Volume   26.261 Å³ per atom
data_Rb3Dy2MnS6
_chemical_formula_sum 'Rb6 Dy4 Mn2 S12'
_space_group_name_H-M_alt 'C 1 2/m 1'
_space_group_IT_number 12
_cell_length_a 7.0381
_cell_length_b 11.7092
_cell_length_c 8.0359
_cell_angle_alpha 90.00
_cell_angle_beta 107.88
_cell_angle_gamma 90.00
loop_
_space_group_symop_operation_xyz
'x,y,z'
'-x,-y,-z'
'-x,y,-z'
'x,-y,z'
'x+1/2,y+1/2,z'
'-x+1/2,-y+1/2,-z'
'-x+1/2,y+1/2,-z'
'x+1/2,-y+1/2,z'
loop_
_atom_site_label
_atom_site_type_symbol
_atom_site_fract_x
_atom_site_fract_y
_atom_site_fract_z
_atom_site_occupancy
Rb1 Rb 0.0000 0.0000 0.0000 1
Rb2 Rb 0.0000 0.3279 0.0000 1
Dy1 Dy 0.0000 0.1630 0.5000 1
Mn1 Mn 0.0000 0.5000 0.5000 1
S1 S 0.2098 0.3491 0.6764 1
S2 S 0.2297 0.0000 0.7051 1

---

[2]
# P3Pb | the Alexandria database | GGA-PBE | relaxed
# Energy of formation   0.901 eV per atom
# Total magnetic moment   0.00 μB per formula unit
# Volume   19.946 Å³ per atom
data_P3Pb
_chemical_formula_sum 'P6 Pb2'
_space_group_name_H-M_alt 'P m -3 n'
_space_group_IT_number 223
_space_group_name_Hall '-P 4n 2 3'
_cell_length_a 5.4240
_cell_length_b 5.4240
_cell_length_c 5.4240
_cell_angle_alpha 90.00
_cell_angle_beta 90.00
_cell_angle_gamma 90.00
loop_
_atom_site_label
_atom_site_type_symbol
_atom_site_fract_x
_atom_site_fract_y
_atom_site_fract_z
_atom_site_occupancy
P1 P 0.0000 0.2500 0.5000 1
Pb1 Pb 0.0000 0.0000 0.0000 1